# V2Si2Ru PBE optimized geometry
data_V2Si2Ru
_space_group_name_H-M_alt 'P 1'
_space_group_IT_number 1
_cell_length_a 6.2653
_cell_length_b 6.2653
_cell_length_c 3.3935
_cell_angle_alpha 90.00
_cell_angle_beta 90.00
_cell_angle_gamma 90.00
loop_
_space_group_symop_operation_xyz
'x,y,z'
loop_
_atom_site_label
_atom_site_type_symbol
_atom_site_fract_x
_atom_site_fract_y
_atom_site_fract_z
_atom_site_occupancy
V1 V 0.1656 0.3344 0.0000 1
V2 V 0.3344 0.8344 0.0000 1
V3 V 0.6656 0.1656 0.0000 1
V4 V 0.8344 0.6656 0.0000 1
Si1 Si 0.1336 0.6336 0.5000 1
Si2 Si 0.3664 0.1336 0.5000 1
Si3 Si 0.6336 0.8664 0.5000 1
Si4 Si 0.8664 0.3664 0.5000 1
Ru1 Ru 0.0000 0.0000 0.5000 1
Ru2 Ru 0.5000 0.5000 0.5000 1
# - size of the total moment (μB/cell) = 1.72
# - crystal system = tetragonal
# - mass density (g/cm3) = 6.46
# - VASP energy (eV per atom) = -8.142
# - SG = P4/mbm
# - energy relative to the elements, uncorrected (meV per atom) = -470.4
# - DOS at the Fermi energy (states/eV per atom) = 1.05